[1]
Computed, not measured: a relaxed Sc5TlSn crystal at the PBE level of DFT.

## Properties
SG: C2/c

Cell lengths 5.7546, 5.7546, 10.4998 Å; angles 98.68, 98.68, 91.15 degrees
Sites, in units of the cell vectors:
Sc 0.0030 0.5912 0.1622
Sc 0.1323 0.8677 0.7500
Sc 0.2409 0.5151 0.4719
Sc 0.4088 0.9970 0.3378
Sc 0.4849 0.7591 0.0281
Sc 0.5151 0.2409 0.9719
Sc 0.5912 0.0030 0.6622
Sc 0.7591 0.4849 0.5281
Sc 0.8677 0.1323 0.2500
Sc 0.9970 0.4088 0.8378
Tl 0.0000 0.0000 0.0000
Tl 0.0000 0.0000 0.5000
Sn 0.4875 0.5125 0.7500
Sn 0.5125 0.4875 0.2500

[2]
Computed, not measured: a relaxed Sc4TlSn2 crystal at the PBE level of DFT.

## Properties
SG: P2_1/m

Cell lengths 5.7260, 6.2721, 9.7591 Å; angles 90.00, 102.41, 90.00 degrees
Sites, in units of the cell vectors:
Sc 0.0169 0.2500 0.3303
Sc 0.1506 0.2500 0.9666
Sc 0.4721 0.5010 0.2338
Sc 0.4721 0.9990 0.2338
Sc 0.5279 0.0010 0.7662
Sc 0.5279 0.4990 0.7662
Sc 0.8494 0.7500 0.0334
Sc 0.9831 0.7500 0.6697
Tl 0.0631 0.2500 0.6626
Tl 0.9369 0.7500 0.3374
Sn 0.3088 0.7500 0.9647
Sn 0.4266 0.7500 0.5015
Sn 0.5734 0.2500 0.4985
Sn 0.6912 0.2500 0.0353

[3]
Computed, not measured: a relaxed Zr2ScTlSn crystal at the PBE level of DFT.

## Properties
SG: P4/mmm

Cell lengths 5.0615, 5.0615, 5.3910 Å; angles 90.00, 90.00, 90.00 degrees
Sites, in units of the cell vectors:
Zr 0.0000 0.5000 0.0000
Zr 0.5000 0.0000 0.0000
Sc 0.0000 0.0000 0.0000
Tl 0.0000 0.0000 0.5000
Sn 0.5000 0.5000 0.5000

[4]
Computed, not measured: a relaxed TmScSn2 crystal at the PBE level of DFT.

## Properties
Energy above the lowest structure with this stoichiometry: 7 meV/atom
SG: Pmc2_1

Cell lengths 4.2058, 5.9474, 8.1055 Å; angles 90.00, 90.00, 90.00 degrees
Sites, in units of the cell vectors:
Tm 0.0000 0.1214 0.0000
Tm 0.0000 0.8786 0.5000
Sc 0.5000 0.3792 0.6327
Sc 0.5000 0.6208 0.1327
Sn 0.0000 0.4141 0.3620
Sn 0.0000 0.5859 0.8620
Sn 0.5000 0.0848 0.2704
Sn 0.5000 0.9152 0.7704

[5]
Computed, not measured: a relaxed Tm2ScSn crystal at the PBE level of DFT.

## Properties
Energy above the lowest structure with this stoichiometry: 58 meV/atom
SG: P4/mmm

Cell lengths 4.0410, 4.0410, 6.4340 Å; angles 90.00, 90.00, 90.00 degrees
Sites, in units of the cell vectors:
Tm 0.0000 0.0000 0.2437
Tm 0.0000 0.0000 0.7563
Sc 0.5000 0.5000 0.5000
Sn 0.5000 0.5000 0.0000

[6]
Computed, not measured: a relaxed Tm12Sc5Sn2 crystal at the PBE level of DFT.

## Properties
SG: C2/m

Cell lengths 8.5983, 8.5983, 8.0279 Å; angles 90.92, 90.92, 64.98 degrees
Sites, in units of the cell vectors:
Tm 0.0522 0.0522 0.3165
Tm 0.0803 0.6733 0.3516
Tm 0.1635 0.5323 0.7663
Tm 0.3267 0.9197 0.6484
Tm 0.4130 0.4130 0.1208
Tm 0.4677 0.8365 0.2337
Tm 0.5323 0.1635 0.7663
Tm 0.5870 0.5870 0.8792
Tm 0.6733 0.0803 0.3516
Tm 0.8365 0.4677 0.2337
Tm 0.9197 0.3267 0.6484
Tm 0.9478 0.9478 0.6835
Sc 0.1814 0.1814 0.0017
Sc 0.2633 0.2633 0.4201
Sc 0.5000 0.5000 0.5000
Sc 0.7367 0.7367 0.5799
Sc 0.8186 0.8186 0.9983
Sn 0.1918 0.8082 0.0000
Sn 0.8082 0.1918 0.0000

[7]
Computed, not measured: a relaxed Tm12Sc6Sn crystal at the PBE level of DFT.

## Properties
SG: R-3

Cell lengths 8.1527, 8.1527, 8.1527 Å; angles 88.09, 88.09, 88.09 degrees
Sites, in units of the cell vectors:
Tm 0.0412 0.9334 0.2864
Tm 0.0666 0.7136 0.9588
Tm 0.1308 0.4922 0.3253
Tm 0.2864 0.0412 0.9334
Tm 0.3253 0.1308 0.4922
Tm 0.4922 0.3253 0.1308
Tm 0.5078 0.6747 0.8692
Tm 0.6747 0.8692 0.5078
Tm 0.7136 0.9588 0.0666
Tm 0.8692 0.5078 0.6747
Tm 0.9334 0.2864 0.0412
Tm 0.9588 0.0666 0.7136
Sc 0.2164 0.7558 0.5975
Sc 0.2442 0.4024 0.7836
Sc 0.4024 0.7836 0.2442
Sc 0.5976 0.2164 0.7558
Sc 0.7558 0.5976 0.2164
Sc 0.7836 0.2442 0.4024
Sn 0.5000 0.5000 0.5000

[8]
Computed, not measured: a relaxed TmScSn2 crystal at the PBE level of DFT.

## Properties
Energy above the lowest structure with this stoichiometry: 131 meV/atom
SG: R-3m

Cell lengths 3.6489, 3.6489, 26.8533 Å; angles 90.00, 90.00, 120.00 degrees
Sites, in units of the cell vectors:
Tm 0.0000 0.0000 0.0000
Tm 0.3333 0.6667 0.6667
Tm 0.6667 0.3333 0.3333
Sc 0.0000 0.0000 0.5000
Sc 0.3333 0.6667 0.1667
Sc 0.6667 0.3333 0.8333
Sn 0.0000 0.0000 0.2469
Sn 0.0000 0.0000 0.7531
Sn 0.3333 0.6667 0.4198
Sn 0.3333 0.6667 0.9136
Sn 0.6667 0.3333 0.0864
Sn 0.6667 0.3333 0.5802

[9]
Computed, not measured: a relaxed TmScSn2 crystal at the PBE level of DFT.

## Properties
Energy above the lowest structure with this stoichiometry: 99 meV/atom
SG: P4/mmm

Cell lengths 3.8688, 3.8688, 6.5945 Å; angles 90.00, 90.00, 90.00 degrees
Sites, in units of the cell vectors:
Tm 0.0000 0.0000 0.0000
Sc 0.0000 0.0000 0.5000
Sn 0.5000 0.5000 0.2671
Sn 0.5000 0.5000 0.7329

[10]
Computed, not measured: a relaxed Tm2ScSn crystal at the PBE level of DFT.

## Properties
Energy above the lowest structure with this stoichiometry: 452 meV/atom
SG: R-3m

Cell lengths 3.3726, 3.3726, 34.1551 Å; angles 90.00, 90.00, 120.00 degrees
Sites, in units of the cell vectors:
Tm 0.0000 0.0000 0.0922
Tm 0.0000 0.0000 0.9078
Tm 0.3333 0.6667 0.5745
Tm 0.3333 0.6667 0.7588
Tm 0.6667 0.3333 0.2412
Tm 0.6667 0.3333 0.4255
Sc 0.0000 0.0000 0.0000
Sc 0.3333 0.6667 0.6667
Sc 0.6667 0.3333 0.3333
Sn 0.0000 0.0000 0.5000
Sn 0.3333 0.6667 0.1667
Sn 0.6667 0.3333 0.8333

[11]
Computed, not measured: a relaxed TmSc3Sn2 crystal at the PBE level of DFT.

## Properties
SG: Cmmm

Cell lengths 4.6545, 14.8924, 4.1473 Å; angles 90.00, 90.00, 90.00 degrees
Sites, in units of the cell vectors:
Tm 0.0000 0.0000 0.0000
Tm 0.5000 0.5000 0.0000
Sc 0.0000 0.1763 0.5000
Sc 0.0000 0.5000 0.5000
Sc 0.0000 0.8237 0.5000
Sc 0.5000 0.0000 0.5000
Sc 0.5000 0.3237 0.5000
Sc 0.5000 0.6763 0.5000
Sn 0.0000 0.3485 0.0000
Sn 0.0000 0.6515 0.0000
Sn 0.5000 0.1515 0.0000
Sn 0.5000 0.8485 0.0000

[12]
Computed, not measured: a relaxed TmSc3Sn crystal at the PBE level of DFT.

## Properties
SG: Pnma

Cell lengths 6.4113, 9.6264, 8.5092 Å; angles 90.00, 90.00, 90.00 degrees
Sites, in units of the cell vectors:
Tm 0.2143 0.2500 0.1379
Tm 0.2857 0.7500 0.6379
Tm 0.7143 0.2500 0.3621
Tm 0.7857 0.7500 0.8621
Sc 0.0997 0.0375 0.8346
Sc 0.0997 0.4625 0.8346
Sc 0.2468 0.7500 0.0357
Sc 0.2532 0.2500 0.5357
Sc 0.4003 0.5375 0.3346
Sc 0.4003 0.9625 0.3346
Sc 0.5997 0.0375 0.6654
Sc 0.5997 0.4625 0.6654
Sc 0.7468 0.7500 0.4643
Sc 0.7532 0.2500 0.9643
Sc 0.9003 0.5375 0.1654
Sc 0.9003 0.9625 0.1654
Sn 0.0000 0.0000 0.5000
Sn 0.0000 0.5000 0.5000
Sn 0.5000 0.0000 0.0000
Sn 0.5000 0.5000 0.0000

[13]
Computed, not measured: a relaxed TmScSn2 crystal at the PBE level of DFT.

## Properties
Energy above the lowest structure with this stoichiometry: 61 meV/atom
SG: P4/mmm

Cell lengths 4.7261, 4.7261, 4.3324 Å; angles 90.00, 90.00, 90.00 degrees
Sites, in units of the cell vectors:
Tm 0.0000 0.0000 0.0000
Sc 0.5000 0.5000 0.0000
Sn 0.0000 0.5000 0.5000
Sn 0.5000 0.0000 0.5000

[14]
Computed, not measured: a relaxed Tm8ScSn2 crystal at the PBE level of DFT.

## Properties
SG: C2/m

Cell lengths 8.5488, 8.5488, 5.5894 Å; angles 102.62, 102.62, 119.49 degrees
Sites, in units of the cell vectors:
Tm 0.0959 0.3230 0.6172
Tm 0.2135 0.7865 0.0000
Tm 0.3230 0.0959 0.6172
Tm 0.3974 0.3974 0.1990
Tm 0.6026 0.6026 0.8010
Tm 0.6770 0.9041 0.3828
Tm 0.7865 0.2135 0.0000
Tm 0.9041 0.6770 0.3828
Sc 0.0000 0.0000 0.0000
Sn 0.3047 0.6953 0.5000
Sn 0.6953 0.3047 0.5000

[15]
Computed, not measured: a relaxed TmSc4Sn4 crystal at the PBE level of DFT.

## Properties
SG: P4_2/n

Cell lengths 9.4293, 9.4293, 5.8084 Å; angles 90.00, 90.00, 90.00 degrees
Sites, in units of the cell vectors:
Tm 0.2500 0.2500 0.2500
Tm 0.7500 0.7500 0.7500
Sc 0.1018 0.6447 0.1451
Sc 0.1447 0.8982 0.6451
Sc 0.3553 0.6018 0.6451
Sc 0.3982 0.8553 0.1451
Sc 0.6018 0.1447 0.8549
Sc 0.6447 0.3982 0.3549
Sc 0.8553 0.1018 0.3549
Sc 0.8982 0.3553 0.8549
Sn 0.0410 0.6103 0.6594
Sn 0.1103 0.9590 0.1594
Sn 0.3897 0.5410 0.1594
Sn 0.4590 0.8897 0.6594
Sn 0.5410 0.1103 0.3406
Sn 0.6103 0.4590 0.8406
Sn 0.8897 0.0410 0.8406
Sn 0.9590 0.3897 0.3406

[16]
Computed, not measured: a relaxed TmSc2Sn crystal at the PBE level of DFT.

## Properties
Energy above the lowest structure with this stoichiometry: 0 meV/atom
SG: P2_1/m

Cell lengths 4.3733, 4.4526, 10.7774 Å; angles 90.00, 101.69, 90.00 degrees
Sites, in units of the cell vectors:
Tm 0.1893 0.2500 0.3792
Tm 0.8107 0.7500 0.6208
Sc 0.0560 0.7500 0.1121
Sc 0.4392 0.7500 0.8781
Sc 0.5608 0.2500 0.1219
Sc 0.9440 0.2500 0.8879
Sn 0.3384 0.2500 0.6763
Sn 0.6616 0.7500 0.3237

[17]
Computed, not measured: a relaxed Tm5Sc2Sn5 crystal at the PBE level of DFT.

## Properties
SG: C2/m

Cell lengths 6.5613, 6.5613, 12.6716 Å; angles 114.37, 114.37, 41.34 degrees
Sites, in units of the cell vectors:
Tm 0.0000 0.0000 0.0000
Tm 0.1576 0.1576 0.5131
Tm 0.1777 0.1777 0.7917
Tm 0.8223 0.8223 0.2083
Tm 0.8424 0.8424 0.4869
Sc 0.4481 0.4481 0.7136
Sc 0.5519 0.5519 0.2864
Sn 0.1970 0.1970 0.2849
Sn 0.3557 0.3557 0.0550
Sn 0.5000 0.5000 0.5000
Sn 0.6443 0.6443 0.9450
Sn 0.8030 0.8030 0.7151

[18]
Computed, not measured: a relaxed Tm2Sc3Sn2 crystal at the PBE level of DFT.

## Properties
SG: C2/m

Cell lengths 11.4210, 4.2696, 8.0252 Å; angles 90.00, 110.76, 90.00 degrees
Sites, in units of the cell vectors:
Tm 0.1313 0.0000 0.2824
Tm 0.3687 0.5000 0.7176
Tm 0.6313 0.5000 0.2824
Tm 0.8687 0.0000 0.7176
Sc 0.0000 0.5000 0.5000
Sc 0.1205 0.5000 0.9391
Sc 0.3795 0.0000 0.0609
Sc 0.5000 0.0000 0.5000
Sc 0.6205 0.0000 0.9391
Sc 0.8795 0.5000 0.0609
Sn 0.1662 0.0000 0.7063
Sn 0.3338 0.5000 0.2937
Sn 0.6662 0.5000 0.7063
Sn 0.8338 0.0000 0.2937

[19]
Computed, not measured: a relaxed TmSc2Sn crystal at the PBE level of DFT.

## Properties
Energy above the lowest structure with this stoichiometry: 175 meV/atom
SG: P4/mmm

Cell lengths 3.6086, 3.6086, 7.6955 Å; angles 90.00, 90.00, 90.00 degrees
Sites, in units of the cell vectors:
Tm 0.0000 0.0000 0.0000
Sc 0.5000 0.5000 0.2751
Sc 0.5000 0.5000 0.7249
Sn 0.0000 0.0000 0.5000

[20]
Computed, not measured: a relaxed Tm5ScSn2 crystal at the PBE level of DFT.

## Properties
SG: Immm

Cell lengths 3.4392, 10.4734, 12.1964 Å; angles 90.00, 90.00, 90.00 degrees
Sites, in units of the cell vectors:
Tm 0.0000 0.0000 0.0000
Tm 0.0000 0.2747 0.3647
Tm 0.0000 0.2747 0.6353
Tm 0.0000 0.7253 0.3647
Tm 0.0000 0.7253 0.6353
Tm 0.5000 0.2253 0.1353
Tm 0.5000 0.2253 0.8647
Tm 0.5000 0.5000 0.5000
Tm 0.5000 0.7747 0.1353
Tm 0.5000 0.7747 0.8647
Sc 0.0000 0.5000 0.0000
Sc 0.5000 0.0000 0.5000
Sn 0.0000 0.0000 0.2680
Sn 0.0000 0.0000 0.7320
Sn 0.5000 0.5000 0.2320
Sn 0.5000 0.5000 0.7680

Number 1: E_form -1.3 eV per formula unit, total DFT energy (no corrections) -5.62 eV/atom, size of the total moment 0.001 μB per cell. Number 2: E_form -2.6 eV per formula unit, total DFT energy (no corrections) -5.48 eV/atom, size of the total moment 0.000 μB per cell. Number 3: E_form 4.2 eV per formula unit, total DFT energy (no corrections) -5.12 eV/atom, size of the total moment 0.000 μB per cell. Number 4: E_form -2.4 eV per formula unit, total DFT energy (no corrections) -5.30 eV/atom, size of the total moment 0.000 μB per cell. Number 5: E_form -1.3 eV per formula unit, total DFT energy (no corrections) -5.15 eV/atom, size of the total moment 0.000 μB per cell. Number 6: E_form -1.2 eV per formula unit, total DFT energy (no corrections) -4.97 eV/atom, size of the total moment 0.000 μB per cell. Number 7: E_form 0.7 eV per formula unit, total DFT energy (no corrections) -5.00 eV/atom, size of the total moment 0.005 μB per cell. Number 8: E_form -1.9 eV per formula unit, total DFT energy (no corrections) -5.18 eV/atom, size of the total moment 0.000 μB per cell. Number 9: E_form -2.0 eV per formula unit, total DFT energy (no corrections) -5.21 eV/atom, size of the total moment 0.002 μB per cell. Number 10: E_form 0.2 eV per formula unit, total DFT energy (no corrections) -4.76 eV/atom, size of the total moment 2.273 μB per cell. Number 11: E_form -2.9 eV per formula unit, total DFT energy (no corrections) -5.73 eV/atom, size of the total moment 2.017 μB per cell. Number 12: E_form -1.0 eV per formula unit, total DFT energy (no corrections) -5.70 eV/atom, size of the total moment 0.011 μB per cell. Number 13: E_form -2.2 eV per formula unit, total DFT energy (no corrections) -5.25 eV/atom, size of the total moment 0.311 μB per cell. Number 14: E_form -1.5 eV per formula unit, total DFT energy (no corrections) -4.69 eV/atom, size of the total moment 0.000 μB per cell. Number 15: E_form -3.0 eV per formula unit, total DFT energy (no corrections) -5.42 eV/atom, size of the total moment 0.000 μB per cell. Number 16: E_form -1.8 eV per formula unit, total DFT energy (no corrections) -5.73 eV/atom, size of the total moment 0.003 μB per cell. Number 17: E_form -5.9 eV per formula unit, total DFT energy (no corrections) -5.08 eV/atom, size of the total moment 0.000 μB per cell. Number 18: E_form -3.2 eV per formula unit, total DFT energy (no corrections) -5.59 eV/atom, size of the total moment 0.000 μB per cell. Number 19: E_form -1.1 eV per formula unit, total DFT energy (no corrections) -5.56 eV/atom, size of the total moment 0.001 μB per cell. Number 20: E_form -1.9 eV per formula unit, total DFT energy (no corrections) -4.82 eV/atom, size of the total moment 0.003 μB per cell.